(1)
VASP calculation (GGA-PBE) on PmNd2Dy6Y3 after structural relaxation.

Cell lengths 6.2072, 6.2072, 11.8607 Å; angles 94.99, 94.99, 119.97 degrees
Last column: nearest neighbours and their distance in Å.
Element x y z (fractional)
Pm 0.0000 0.0000 0.0000  6 Nd 3.58, 6 Dy 3.60
Dy 0.4179 0.0847 0.2524  3 Y 3.56, 6 Dy 3.58-3.59, 2 Nd 3.60, 1 Pm 3.60
Dy 0.5821 0.9153 0.7476  3 Y 3.56, 6 Dy 3.58-3.59, 2 Nd 3.60, 1 Pm 3.60
Dy 0.2484 0.2484 0.7475  3 Y 3.55-3.56, 6 Dy 3.58-3.59, 1 Pm 3.60, 2 Nd 3.60
Dy 0.9153 0.5821 0.7476  3 Y 3.56, 6 Dy 3.58-3.59, 2 Nd 3.60, 1 Pm 3.60
Dy 0.7516 0.7516 0.2525  3 Y 3.55-3.56, 6 Dy 3.58-3.59, 1 Pm 3.60, 2 Nd 3.60
Dy 0.0847 0.4179 0.2524  3 Y 3.56, 6 Dy 3.58-3.59, 2 Nd 3.60, 1 Pm 3.60
Nd 0.6666 0.3334 0.0000  3 Nd 3.58-3.59, 3 Pm 3.58, 6 Dy 3.60
Nd 0.3334 0.6666 0.0000  3 Nd 3.58-3.59, 3 Pm 3.58, 6 Dy 3.60
Y 0.1667 0.8333 0.5000  6 Dy 3.55-3.56, 6 Y 3.58
Y 0.5000 0.5000 0.5000  6 Dy 3.56, 6 Y 3.58
Y 0.8333 0.1667 0.5000  6 Dy 3.55-3.56, 6 Y 3.58

- Formation energy: 0.018 eV/atom
- Space group: No. 12
- E_tot: -61.07 eV per formula unit
- Total moment: 0.00 μB/cell



(2)
VASP calculation (GGA-PBE) on Pm2Nd3Dy6Y after structural relaxation.

Cell lengths 6.2412, 6.2412, 11.8812 Å; angles 95.01, 95.01, 119.98 degrees
Last column: nearest neighbours and their distance in Å.
Element x y z (fractional)
Pm 0.6665 0.3335 0.0000  6 Dy 3.58, 3 Pm 3.60-3.61, 3 Y 3.60
Pm 0.3335 0.6665 0.0000  6 Dy 3.58, 3 Pm 3.60-3.61, 3 Y 3.60
Y 0.0000 0.0000 0.0000  6 Dy 3.58, 6 Pm 3.60
Dy 0.9169 0.5834 0.7513  2 Pm 3.58, 1 Y 3.58, 3 Nd 3.60, 6 Dy 3.60-3.61
Dy 0.2503 0.2503 0.7510  1 Y 3.58, 2 Pm 3.58, 3 Nd 3.60, 6 Dy 3.60-3.61
Dy 0.7497 0.7497 0.2490  1 Y 3.58, 2 Pm 3.58, 3 Nd 3.60, 6 Dy 3.60-3.61
Dy 0.4166 0.0831 0.2487  2 Pm 3.58, 1 Y 3.58, 3 Nd 3.60, 6 Dy 3.60-3.61
Dy 0.0831 0.4166 0.2487  2 Pm 3.58, 1 Y 3.58, 3 Nd 3.60, 6 Dy 3.60-3.61
Dy 0.5834 0.9169 0.7513  2 Pm 3.58, 1 Y 3.58, 3 Nd 3.60, 6 Dy 3.60-3.61
Nd 0.8333 0.1667 0.5000  6 Dy 3.60, 6 Nd 3.60
Nd 0.5000 0.5000 0.5000  6 Dy 3.60, 6 Nd 3.60
Nd 0.1667 0.8333 0.5000  6 Dy 3.60, 6 Nd 3.60

- Formation energy: 0.014 eV/atom
- Space group: No. 12
- E_tot: -57.71 eV per formula unit
- Total moment: 0.00 μB/cell



(3)
VASP calculation (GGA-PBE) on PmNdDy2Y6 after structural relaxation.

Cell lengths 9.6850, 8.8150, 8.8150 Å; angles 117.21, 94.28, 94.28 degrees
Last column: nearest neighbours and their distance in Å.
Element x y z (fractional)
Dy 0.5471 0.1940 0.2947  6 Y 3.31-3.62, 2 Pm 3.39-3.41, 1 Nd 3.56
Dy 0.0471 0.2947 0.1940  6 Y 3.31-3.62, 2 Pm 3.39-3.41, 1 Nd 3.56
Dy 0.9529 0.7053 0.8060  6 Y 3.31-3.62, 2 Pm 3.39-3.41, 1 Nd 3.56
Dy 0.4529 0.8060 0.7053  6 Y 3.31-3.62, 2 Pm 3.39-3.41, 1 Nd 3.56
Pm 0.7500 0.0254 0.9746  4 Dy 3.39-3.41, 4 Y 3.56-3.67
Pm 0.2500 0.9746 0.0254  4 Dy 3.39-3.41, 4 Y 3.56-3.67
Y 0.6176 0.4903 0.7051  4 Y 3.25-3.56, 3 Dy 3.31-3.47, 2 Nd 3.44-3.55
Y 0.5568 0.7508 0.1182  7 Y 3.43-3.78, 1 Dy 3.49, 1 Pm 3.67
Y 0.1814 0.5697 0.0206  3 Y 3.25-3.63, 2 Dy 3.43-3.62, 1 Nd 3.51, 1 Pm 3.56
Y 0.9432 0.8818 0.2492  7 Y 3.43-3.78, 1 Dy 3.49, 1 Pm 3.67
Y 0.8186 0.4303 0.9794  3 Y 3.25-3.63, 2 Dy 3.43-3.62, 1 Nd 3.51, 1 Pm 3.56
Y 0.0568 0.1182 0.7508  7 Y 3.43-3.78, 1 Dy 3.49, 1 Pm 3.67
Y 0.8824 0.2949 0.5097  4 Y 3.25-3.56, 3 Dy 3.31-3.47, 2 Nd 3.44-3.55
Y 0.1176 0.7051 0.4903  4 Y 3.25-3.56, 3 Dy 3.31-3.47, 2 Nd 3.44-3.55
Y 0.3186 0.9794 0.4303  3 Y 3.25-3.63, 2 Dy 3.43-3.62, 1 Nd 3.51, 1 Pm 3.56
Y 0.6814 0.0206 0.5697  3 Y 3.25-3.63, 2 Dy 3.43-3.62, 1 Nd 3.51, 1 Pm 3.56
Y 0.3824 0.5097 0.2949  4 Y 3.25-3.56, 3 Dy 3.31-3.47, 2 Nd 3.44-3.55
Y 0.4432 0.2492 0.8818  7 Y 3.43-3.78, 1 Dy 3.49, 1 Pm 3.67
Nd 0.7500 0.5924 0.4076  6 Y 3.44-3.55, 2 Dy 3.56
Nd 0.2500 0.4076 0.5924  6 Y 3.44-3.55, 2 Dy 3.56

- Formation energy: 0.120 eV/atom
- Space group: No. 15
- E_tot: -56.31 eV per formula unit
- Total moment: 0.00 μB/cell



(4)
VASP calculation (GGA-PBE) on PmNdDyY3 after structural relaxation.

Cell lengths 5.0893, 8.0481, 10.1803 Å; angles 90.00, 90.00, 108.43 degrees
Last column: nearest neighbours and their distance in Å.
Element x y z (fractional)
Pm 0.4993 0.9987 0.7500  2 Dy 3.60, 4 Nd 3.60, 6 Y 3.60-3.62
Pm 0.5007 0.0013 0.2500  2 Dy 3.60, 4 Nd 3.60, 6 Y 3.60-3.62
Nd 0.0000 0.0000 0.5000  4 Pm 3.60, 2 Dy 3.61, 6 Y 3.61
Nd 0.0000 0.0000 0.0000  4 Pm 3.60, 2 Dy 3.61, 6 Y 3.61
Y 0.3325 0.6650 0.5003  5 Y 3.58-3.60, 3 Dy 3.59-3.60, 2 Pm 3.60-3.62, 2 Nd 3.61
Y 0.1677 0.3353 0.7500  6 Y 3.58-3.60, 2 Dy 3.58, 2 Nd 3.61, 2 Pm 3.62
Y 0.6675 0.3350 0.4997  5 Y 3.58-3.60, 3 Dy 3.59-3.60, 2 Pm 3.60-3.62, 2 Nd 3.61
Y 0.8323 0.6647 0.2500  6 Y 3.58-3.60, 2 Dy 3.58, 2 Nd 3.61, 2 Pm 3.62
Y 0.6675 0.3350 0.0003  5 Y 3.58-3.60, 3 Dy 3.59-3.60, 2 Pm 3.60-3.62, 2 Nd 3.61
Y 0.3325 0.6650 0.9997  5 Y 3.58-3.60, 3 Dy 3.59-3.60, 2 Pm 3.60-3.62, 2 Nd 3.61
Dy 0.1672 0.3344 0.2500  8 Y 3.58-3.60, 2 Pm 3.60, 2 Nd 3.61
Dy 0.8328 0.6656 0.7500  8 Y 3.58-3.60, 2 Pm 3.60, 2 Nd 3.61

- Formation energy: 0.020 eV/atom
- Space group: No. 63
- E_tot: -33.39 eV per formula unit
- Total moment: 0.00 μB/cell



(5)
VASP calculation (GGA-PBE) on PmNd2Dy5Y after structural relaxation.

Cell lengths 8.7207, 8.7207, 9.9596 Å; angles 115.96, 115.96, 90.00 degrees
Last column: nearest neighbours and their distance in Å.
Element x y z (fractional)
Dy 0.6498 0.1498 0.7230  1 Nd 3.02, 1 Y 3.14
Dy 0.0732 0.5732 0.7230  1 Nd 3.02, 1 Y 3.14
Dy 0.8502 0.9268 0.2770  1 Nd 3.02, 1 Y 3.14
Dy 0.1498 0.0732 0.7230  1 Nd 3.02, 1 Y 3.14
Dy 0.0000 0.0000 0.0000  4 Nd 3.49, 8 Dy 3.80
Dy 0.5000 0.5000 0.0000  4 Nd 3.49, 8 Dy 3.80
Dy 0.4268 0.3502 0.2770  1 Nd 3.02, 1 Y 3.14
Dy 0.5732 0.6498 0.7230  1 Nd 3.02, 1 Y 3.14
Dy 0.9268 0.4268 0.2770  1 Nd 3.02, 1 Y 3.14
Dy 0.3502 0.8502 0.2770  1 Nd 3.02, 1 Y 3.14
Y 0.2500 0.7500 0.5000  4 Dy 3.14
Y 0.7500 0.2500 0.5000  4 Dy 3.14
Nd 0.3827 0.8827 0.0000  1 Nd 2.89, 2 Dy 3.02
Nd 0.1173 0.3827 0.0000  1 Nd 2.89, 2 Dy 3.02
Nd 0.6173 0.1173 0.0000  1 Nd 2.89, 2 Dy 3.02
Nd 0.8827 0.6173 0.0000  1 Nd 2.89, 2 Dy 3.02
Pm 0.7500 0.7500 0.5000  10 Dy 3.57-3.91
Pm 0.2500 0.2500 0.5000  10 Dy 3.57-3.91

- Formation energy: 0.264 eV/atom
- Space group: No. 140
- E_tot: -41.38 eV per formula unit
- Total moment: 0.00 μB/cell



(6)
VASP calculation (GGA-PBE) on PmNd4Dy2Y2 after structural relaxation.

Cell lengths 5.1175, 8.1046, 8.0942 Å; angles 107.36, 90.00, 108.40 degrees
Last column: nearest neighbours and their distance in Å.
Element x y z (fractional)
Y 0.8885 0.7769 0.3316  3 Dy 3.61, 1 Pm 3.61, 7 Nd 3.61-3.64, 1 Y 3.65
Y 0.1115 0.2231 0.6684  3 Dy 3.61, 1 Pm 3.61, 7 Nd 3.61-3.64, 1 Y 3.65
Nd 0.5547 0.1095 0.3311  2 Pm 3.61, 4 Y 3.62-3.64, 2 Dy 3.62-3.63, 4 Nd 3.63-3.65
Nd 0.7775 0.5549 0.6684  3 Dy 3.59-3.61, 3 Y 3.61-3.64, 1 Pm 3.62, 5 Nd 3.63-3.65
Nd 0.4453 0.8905 0.6689  2 Pm 3.61, 4 Y 3.62-3.64, 2 Dy 3.62-3.63, 4 Nd 3.63-3.65
Nd 0.2225 0.4451 0.3316  3 Dy 3.59-3.61, 3 Y 3.61-3.64, 1 Pm 3.62, 5 Nd 3.63-3.65
Pm 0.0000 0.0000 0.0000  6 Nd 3.61-3.62, 2 Y 3.61, 4 Dy 3.63
Dy 0.6678 0.3355 0.9998  5 Nd 3.59-3.63, 2 Dy 3.60, 3 Y 3.61, 2 Pm 3.63
Dy 0.3322 0.6645 0.0002  5 Nd 3.59-3.63, 2 Dy 3.60, 3 Y 3.61, 2 Pm 3.63

- Formation energy: 0.016 eV/atom
- Space group: No. 12
- E_tot: -45.81 eV per formula unit
- Total moment: 0.00 μB/cell



(7)
VASP calculation (GGA-PBE) on PmNd2Dy2Y2 after structural relaxation.

Cell lengths 5.1011, 6.2344, 8.0741 Å; angles 97.29, 90.00, 114.15 degrees
Last column: nearest neighbours and their distance in Å.
Element x y z (fractional)
Y 0.7136 0.4272 0.1447  4 Nd 3.59-3.63, 3 Dy 3.59-3.60, 3 Pm 3.60-3.61, 2 Y 3.63
Y 0.2864 0.5728 0.8553  4 Nd 3.59-3.63, 3 Dy 3.59-3.60, 3 Pm 3.60-3.61, 2 Y 3.63
Nd 0.5719 0.1438 0.7133  4 Y 3.59-3.63, 5 Dy 3.59-3.61, 1 Nd 3.60, 2 Pm 3.61
Nd 0.4281 0.8562 0.2867  4 Y 3.59-3.63, 5 Dy 3.59-3.61, 1 Nd 3.60, 2 Pm 3.61
Pm 0.0000 0.0000 0.0000  6 Y 3.60-3.61, 4 Nd 3.61, 2 Dy 3.62
Dy 0.8572 0.7144 0.5703  3 Dy 3.59-3.60, 5 Nd 3.59-3.61, 3 Y 3.59-3.60, 1 Pm 3.62
Dy 0.1428 0.2856 0.4297  3 Dy 3.59-3.60, 5 Nd 3.59-3.61, 3 Y 3.59-3.60, 1 Pm 3.62

- Formation energy: 0.016 eV/atom
- Space group: No. 12
- E_tot: -36.31 eV per formula unit
- Total moment: 0.00 μB/cell



(8)
VASP calculation (GGA-PBE) on Pm6Nd3DyY2 after structural relaxation.

Cell lengths 6.3099, 6.3099, 12.0370 Å; angles 95.01, 95.01, 120.01 degrees
Last column: nearest neighbours and their distance in Å.
Element x y z (fractional)
Y 0.3334 0.6666 0.0000  6 Pm 3.60, 3 Y 3.64, 3 Dy 3.64
Y 0.6666 0.3334 0.0000  6 Pm 3.60, 3 Y 3.64, 3 Dy 3.64
Pm 0.2502 0.2502 0.7534  1 Dy 3.60, 2 Y 3.60, 6 Pm 3.63-3.65, 3 Nd 3.66-3.67
Pm 0.9176 0.5850 0.7535  1 Dy 3.60, 2 Y 3.60, 6 Pm 3.63-3.65, 3 Nd 3.67
Pm 0.7498 0.7498 0.2466  1 Dy 3.60, 2 Y 3.60, 6 Pm 3.63-3.65, 3 Nd 3.66-3.67
Pm 0.0824 0.4150 0.2465  1 Dy 3.60, 2 Y 3.60, 6 Pm 3.63-3.65, 3 Nd 3.67
Pm 0.5850 0.9176 0.7535  1 Dy 3.60, 2 Y 3.60, 6 Pm 3.63-3.65, 3 Nd 3.67
Pm 0.4150 0.0824 0.2465  1 Dy 3.60, 2 Y 3.60, 6 Pm 3.63-3.65, 3 Nd 3.67
Nd 0.5000 0.5000 0.5000  6 Nd 3.64, 6 Pm 3.67
Nd 0.8334 0.1666 0.5000  6 Nd 3.64, 6 Pm 3.66-3.67
Nd 0.1666 0.8334 0.5000  6 Nd 3.64, 6 Pm 3.66-3.67
Dy 0.0000 0.0000 0.0000  6 Pm 3.60, 6 Y 3.64

- Formation energy: 0.014 eV/atom
- Space group: No. 12
- E_tot: -60.17 eV per formula unit
- Total moment: 0.00 μB/cell



What is the total moment in the third record?
0.00 μB/cell



Look up the formation energy of the seventh one.
0.016 eV/atom